SrCrP2O8 | Alexandria via LeMat-Bulk | GGA+U | relaxed; electronic total energy = -85.82 eV for the cell shown; space-group type = R32, No. 155; calculated volume = 12.9 Å³/atom; crystal system = trigonal
1.0
-2.282 -4.221 -0.831
0.699 -2.359 -4.203
5.270 -5.931 1.384
Sr Cr P O
1 1 2 8
direct
0.000 0.000 0.000
0.500 0.500 0.500
0.756 0.756 0.733
0.244 0.244 0.267
0.687 0.687 0.938
0.313 0.313 0.062
0.502 0.266 0.329
0.734 0.498 0.671
0.098 0.734 0.671
0.266 0.902 0.329
0.902 0.502 0.329
0.498 0.098 0.671